An optimized crystal structure of CdSbP2. Source: Alexandria, functional PBE.

extended XYZ file:
```
4
Lattice="0.0000 3.4302 3.4302 3.4302 0.0000 3.4302 3.4302 3.4302 0.0000" Properties=species:S:1:pos:R:3 pbc="T T T"
Cd 0.0000 0.0000 0.0000
Sb 3.4302 3.4302 3.4302
P 1.7151 1.7151 1.7151
P 5.1453 5.1453 5.1453
```

## Properties
- formation energy without anion corrections (eV per atom) = 0.48
- offset from the most stable computed form (meV per atom) = 355
- V (A^3/atom) = 20.18
- N(E_F) (states/eV/cell) = 2.55
- space group = Fm-3m
- crystal system = cubic